Below is a geometry-optimized LaMg2Ag6 structure, with properties calculated at the PBE-GGA level.

abc: 3.417 8.314 8.314
angles: 57.27 78.14 78.14
Atoms (fractional coordinates):
Mg  0.858  0.642  0.642
La  0.000  0.000  0.000
Ag  0.321  0.998  0.361
Ag  0.500  0.332  0.668
Ag  0.500  0.668  0.332
Mg  0.142  0.358  0.358
Ag  0.679  0.639  0.002
Ag  0.679  0.002  0.639
Ag  0.321  0.361  0.998

Computed properties:
ΔE_f	-0.108	eV per atom
VASP energy	-26.2	eV/f.u.
density of states at the Fermi level	0.429	states/eV/atom
crystal system	orthorhombic
SG	Immm